InGeRu3: relaxed, GGA-PBE.

- excess energy over the best structure of this formula in the dataset (meV per atom) = 0.0

a b c (Å): 4.534 4.534 4.534
angles (deg): 90.00 90.00 90.00
Positions (direct):
In 0.000 0.000 0.000
Ge 0.500 0.500 0.500
Ru 0.000 0.500 0.500
Ru 0.500 0.000 0.500
Ru 0.500 0.500 0.000